Entry 1:
# LiNd2Ga3Pd4 PBE-GGA optimized geometry
# ΔH_f (0 K)	-0.76	eV per atom
# M_tot	0.000	μB per cell
# mass density	8.0	Mg/m³
data_LiNd2Ga3Pd4
_chemical_formula_sum 'Li1 Nd2 Ga3 Pd4'
_cell_length_a 4.2730
_cell_length_b 4.2730
_cell_length_c 10.5448
_cell_angle_alpha 90.00
_cell_angle_beta 90.00
_cell_angle_gamma 90.00
_space_group_name_H-M_alt 'P -4 m 2'
_space_group_IT_number 115
_space_group_name_Hall 'P -4 -2'
loop_
_atom_site_label
_atom_site_type_symbol
_atom_site_fract_x
_atom_site_fract_y
_atom_site_fract_z
_atom_site_occupancy
Li1 Li 0.0000 0.0000 0.0000 1
Nd1 Nd 0.0000 0.5000 0.7462 1
Ga1 Ga 0.0000 0.5000 0.3700 1
Ga2 Ga 0.5000 0.5000 0.0000 1
Pd1 Pd 0.0000 0.0000 0.5000 1
Pd2 Pd 0.0000 0.5000 0.1324 1
Pd3 Pd 0.5000 0.5000 0.5000 1

Entry 2:
# LiNdGa2Pd4 PBE-GGA optimized geometry
# ΔH_f (0 K)	-0.73	eV per atom
# M_tot	0.000	μB per cell
# mass density	8.7	Mg/m³
data_LiNdGa2Pd4
_chemical_formula_sum 'Li3 Nd3 Ga6 Pd12'
_cell_length_a 4.3336
_cell_length_b 4.3336
_cell_length_c 25.3065
_cell_angle_alpha 90.00
_cell_angle_beta 90.00
_cell_angle_gamma 120.00
_space_group_name_H-M_alt 'R -3 m'
_space_group_IT_number 166
_space_group_name_Hall '-R 3 2"'
loop_
_atom_site_label
_atom_site_type_symbol
_atom_site_fract_x
_atom_site_fract_y
_atom_site_fract_z
_atom_site_occupancy
Li1 Li 0.0000 0.0000 0.0000 1
Nd1 Nd 0.0000 0.0000 0.5000 1
Ga1 Ga 0.0000 0.0000 0.2635 1
Pd1 Pd 0.0000 0.0000 0.0968 1
Pd2 Pd 0.0000 0.0000 0.3690 1